First-principles (GGA-PBEsol) data for a relaxed structure of TiNiSeBr2, as listed in Alexandria.

Unit cell a=4.6562 b=4.6562 c=4.8489 alpha=90.00 beta=90.00 gamma=90.00
Closest atoms and distances in Å follow each position.
Space group P4/mmm (No. 123)
Symmetry-distinct sites (fractional):
Ti 0.0000 0.0000 0.0000 (multiplicity 1)  4 Se 3.29, 8 Br 3.36
Ni 0.5000 0.5000 0.5000 (multiplicity 1)  4 Br 2.33, 2 Se 2.42
Se 0.5000 0.5000 0.0000 (multiplicity 1)  2 Ni 2.42
Br 0.0000 0.5000 0.5000 (multiplicity 2)  2 Ni 2.33

Output
Formation energy from raw total energies (eV per formula unit): 0.57



First-principles (GGA-PBEsol) data for a relaxed structure of CdWO4, as listed in Alexandria.

Unit cell a=5.0233 b=5.9059 c=5.0778 alpha=90.00 beta=91.24 gamma=90.00
Closest atoms and distances in Å follow each position.
Space group P2/c (No. 13)
Symmetry-distinct sites (fractional):
Cd 0.0000 0.1887 0.2500 (multiplicity 2)  6 O 2.22-2.39
W 0.5000 0.3252 0.7500 (multiplicity 2)  4 O 1.80-1.92
O 0.2555 0.1314 0.6163 (multiplicity 4)  1 W 1.80
O 0.2989 0.4038 0.0544 (multiplicity 4)  2 W 1.92-2.13

Output
Formation energy from raw total energies (eV per formula unit): -11.07



First-principles (GGA-PBEsol) data for a relaxed structure of CdMoO2F, as listed in Alexandria.

Unit cell a=3.8505 b=3.8505 c=4.3371 alpha=90.00 beta=90.00 gamma=90.00
Closest atoms and distances in Å follow each position.
Space group P4/mmm (No. 123)
Symmetry-distinct sites (fractional):
Cd 0.0000 0.0000 0.0000 (multiplicity 1)  4 F 2.72, 8 O 2.90
Mo 0.5000 0.5000 0.5000 (multiplicity 1)  4 O 1.93
O 0.0000 0.5000 0.5000 (multiplicity 2)  2 Mo 1.93
F 0.5000 0.5000 0.0000 (multiplicity 1)  2 Mo 2.17

Output
Formation energy from raw total energies (eV per formula unit): -6.98



First-principles (GGA-PBEsol) data for a relaxed structure of GeAs2SeS, as listed in Alexandria.

Unit cell a=4.7139 b=4.7139 c=4.8519 alpha=90.00 beta=90.00 gamma=90.00
Closest atoms and distances in Å follow each position.
Space group P4/mmm (No. 123)
Symmetry-distinct sites (fractional):
Ge 0.0000 0.0000 0.0000 (multiplicity 1)  4 Se 3.33, 8 As 3.38
As 0.0000 0.5000 0.5000 (multiplicity 2)  2 S 2.36
Se 0.5000 0.5000 0.0000 (multiplicity 1)  2 S 2.43
S 0.5000 0.5000 0.5000 (multiplicity 1)  4 As 2.36, 2 Se 2.43

Output
Formation energy from raw total energies (eV per formula unit): 3.25



First-principles (GGA-PBEsol) data for a relaxed structure of In2OsPdRu, as listed in Alexandria.

Unit cell a=4.9212 b=4.9212 c=4.5672 alpha=90.00 beta=90.00 gamma=90.00
Closest atoms and distances in Å follow each position.
Space group P4/mmm (No. 123)
Symmetry-distinct sites (fractional):
In 0.0000 0.5000 0.0000 (multiplicity 2)  2 Ru 2.46
Os 0.0000 0.0000 0.5000 (multiplicity 1)  8 In 3.36, 4 Pd 3.48
Pd 0.5000 0.5000 0.5000 (multiplicity 1)  2 Ru 2.28
Ru 0.5000 0.5000 0.0000 (multiplicity 1)  2 Pd 2.28, 4 In 2.46

Output
Formation energy (eV per atom): 1.67



First-principles (GGA-PBEsol) data for a relaxed structure of TaSiCl2, as listed in Alexandria.

Unit cell a=6.2794 b=6.2794 c=6.2794 alpha=90.00 beta=90.00 gamma=90.00
Closest atoms and distances in Å follow each position.
Space group Fm-3m (No. 225)
Symmetry-distinct sites (fractional):
Ta 0.0000 0.0000 0.0000 (multiplicity 4)  8 Cl 2.72
Si 0.0000 0.0000 0.5000 (multiplicity 4)  8 Cl 2.72
Cl 0.2500 0.2500 0.2500 (multiplicity 8)  4 Ta 2.72, 4 Si 2.72

Output
Excess energy over the best structure of this formula in the dataset (eV per atom): 0.301
Formation energy from raw total energies (eV per formula unit): 1.72



First-principles (GGA-PBEsol) data for a relaxed structure of TiPtI2, as listed in Alexandria.

Unit cell a=6.9507 b=6.9507 c=6.9507 alpha=90.00 beta=90.00 gamma=90.00
Closest atoms and distances in Å follow each position.
Space group Fm-3m (No. 225)
Symmetry-distinct sites (fractional):
Ti 0.0000 0.0000 0.0000 (multiplicity 4)  8 I 3.01
Pt 0.0000 0.0000 0.5000 (multiplicity 4)  8 I 3.01
I 0.2500 0.2500 0.2500 (multiplicity 8)  4 Pt 3.01, 4 Ti 3.01

Output
Formation energy from raw total energies (eV per formula unit): 1.16



First-principles (GGA-PBEsol) data for a relaxed structure of Sc3Be, as listed in Alexandria.

Unit cell a=4.8478 b=4.8478 c=4.8478 alpha=90.00 beta=90.00 gamma=90.00
Closest atoms and distances in Å follow each position.
Space group Pm-3m (No. 221)
Symmetry-distinct sites (fractional):
Sc 0.0000 0.0000 0.5000 (multiplicity 3)  2 Be 2.42
Be 0.0000 0.0000 0.0000 (multiplicity 1)  6 Sc 2.42

Output
Excess energy over the best structure of this formula in the dataset (eV per atom): 0.778
Formation energy (eV per atom): 0.79



How do the records compare in total magnetic moment? In the order shown, they have 0.3501 0.0000 0.0000 0.0001 0.4133 0.0000 0.2605 0.0000 μB per atom.